# 1
This record from Alexandria via LeMat-Bulk describes a geometry-optimized NaCaS2N structure. The functional is GGA-PBE.

Values from the calculation:
Excess energy over the best structure of this formula in the dataset: 0.0 meV/atom
Theoretical density: 1.7 g/cm3
Space group: P4/mmm (123)
Raw formation energy: 0.2167 eV per atom
Fermi-level density of states: 0.810 states/eV/atom

a b c (Å): 5.3826 5.3826 4.7460
angles (deg): 90.00 90.00 90.00
Element x y z (fractional)
Na1 0.0000 0.0000 0.0000
Ca1 0.5000 0.5000 0.5000
S1 0.0000 0.5000 0.5000
S2 0.5000 0.0000 0.5000
N1 0.5000 0.5000 0.0000

***

# 2
This record from Alexandria via LeMat-Bulk describes a geometry-optimized PmMgAlHg structure. The functional is GGA-PBE.

Values from the calculation:
ΔE_f: -0.322 eV/atom
Theoretical density: 7.0 g/cm3
Space group: F-43m (216)
Fermi-level density of states: 0.554 states/eV/atom

a b c (Å): 5.1087 5.1087 5.1087
angles (deg): 60.00 60.00 60.00
Element x y z (fractional)
Pm1 0.0000 0.0000 0.0000
Mg1 0.5000 0.5000 0.5000
Al1 0.7500 0.7500 0.7500
Hg1 0.2500 0.2500 0.2500

***

# 3
This record from Alexandria via LeMat-Bulk describes a geometry-optimized AgHg2Pd structure. The functional is GGA-PBE.

Values from the calculation:
ΔE_f: -0.015 eV/atom
Excess energy over the best structure of this formula in the dataset: 7.0 meV/atom
Theoretical density: 13.4 g/cm3
Space group: P4/mmm (123)
Fermi-level density of states: 0.395 states/eV/atom

a b c (Å): 3.4973 3.4973 6.2447
angles (deg): 90.00 90.00 90.00
Element x y z (fractional)
Ag1 0.0000 0.0000 0.0000
Hg1 0.5000 0.5000 0.2581
Hg2 0.5000 0.5000 0.7419
Pd1 0.0000 0.0000 0.5000

***

# 4
This record from Alexandria via LeMat-Bulk describes a geometry-optimized KSbBr2 structure. The functional is GGA-PBE.

Values from the calculation:
Excess energy over the best structure of this formula in the dataset: 0.0 meV/atom
Theoretical density: 4.1 g/cm3
Space group: P4/mmm (123)
Raw formation energy: -0.7757 eV per atom
Fermi-level density of states: 0.531 states/eV/atom

a b c (Å): 5.9660 5.9660 3.6844
angles (deg): 90.00 90.00 90.00
Element x y z (fractional)
K1 0.0000 0.0000 0.0000
Sb1 0.5000 0.5000 0.5000
Br1 0.0000 0.5000 0.5000
Br2 0.5000 0.0000 0.5000

***

# 5
This record from Alexandria via LeMat-Bulk describes a geometry-optimized AgPdN structure. The functional is GGA-PBE.

Values from the calculation:
Excess energy over the best structure of this formula in the dataset: 346.3 meV/atom
Theoretical density: 8.8 g/cm3
Space group: R3m (160)
Raw formation energy: 0.6094 eV per atom

a b c (Å): 5.8655 5.8655 5.8655
angles (deg): 29.50 29.50 29.50
Element x y z (fractional)
Ag1 0.0000 0.0000 0.0000
Pd1 0.5276 0.5276 0.5276
N1 0.1319 0.1319 0.1319

***

# 6
This record from Alexandria via LeMat-Bulk describes a geometry-optimized Y3Ho5In structure. The functional is GGA-PBE.

Values from the calculation:
ΔE_f: 0.199 eV/atom
Theoretical density: 6.9 g/cm3
Space group: I4/mcm (140)
Fermi-level density of states: 1.287 states/eV/atom

a b c (Å): 9.3974 9.3974 9.3974
angles (deg): 120.87 120.87 88.49
Element x y z (fractional)
Y1 0.1138 0.6138 0.7276
Y2 0.2500 0.2500 0.0000
Y3 0.3862 0.1138 0.5000
Y4 0.6138 0.8862 0.5000
Y5 0.7500 0.7500 0.0000
Y6 0.8862 0.3862 0.2724
Ho1 0.0000 0.0000 0.0000
Ho2 0.0577 0.1745 0.5000
Ho3 0.1745 0.6745 0.1168
Ho4 0.3255 0.4423 0.5000
Ho5 0.4423 0.9423 0.1168
Ho6 0.5000 0.5000 0.0000
Ho7 0.5577 0.0577 0.8832
Ho8 0.6745 0.5577 0.5000
Ho9 0.8255 0.3255 0.8832
Ho10 0.9423 0.8255 0.5000
In1 0.2500 0.7500 0.5000
In2 0.7500 0.2500 0.5000

***

# 7
This record from Alexandria via LeMat-Bulk describes a geometry-optimized Ag2IrF structure. The functional is GGA-PBE.

Values from the calculation:
Excess energy over the best structure of this formula in the dataset: 20.9 meV/atom
Theoretical density: 11.1 g/cm3
Space group: Fm-3m (225)
Raw formation energy: 0.4013 eV per atom
Fermi-level density of states: 1.575 states/eV/atom

a b c (Å): 4.4804 4.4804 4.4804
angles (deg): 60.00 60.00 60.00
Element x y z (fractional)
Ag1 0.2500 0.2500 0.2500
Ag2 0.7500 0.7500 0.7500
Ir1 0.0000 0.0000 0.0000
F1 0.5000 0.5000 0.5000

***

# 8
This record from Alexandria via LeMat-Bulk describes a geometry-optimized K3ReOs structure. The functional is GGA-PBE.

Values from the calculation:
ΔE_f: 2.384 eV/atom
Excess energy over the best structure of this formula in the dataset: 0.0 meV/atom
Theoretical density: 3.6 g/cm3
Space group: Pm-3m (221)
Fermi-level density of states: 1.608 states/eV/atom

a b c (Å): 6.1072 6.1072 6.1072
angles (deg): 90.00 90.00 90.00
Element x y z (fractional)
K1 0.0000 0.0000 0.5000
K2 0.0000 0.5000 0.0000
K3 0.5000 0.0000 0.0000
Re1 0.5000 0.5000 0.5000
Os1 0.0000 0.0000 0.0000

***

# 9
This record from Alexandria via LeMat-Bulk describes a geometry-optimized SrAl2As structure. The functional is GGA-PBE.

Values from the calculation:
ΔE_f: -0.342 eV/atom
Theoretical density: 3.7 g/cm3
Space group: Cm (8)
Fermi-level density of states: 0.343 states/eV/atom

a b c (Å): 4.8080 4.8080 5.9247
angles (deg): 105.04 105.04 48.48
Element x y z (fractional)
Sr1 0.0000 0.0000 0.0000
Al1 0.2286 0.2286 0.6381
Al2 0.5027 0.5027 0.5221
As1 0.7578 0.7578 0.3443

***

# 10
This record from Alexandria via LeMat-Bulk describes a geometry-optimized EuHoAg structure. The functional is GGA-PBE.

Values from the calculation:
ΔE_f: -0.155 eV/atom
Excess energy over the best structure of this formula in the dataset: 0.0 meV/atom
Theoretical density: 7.9 g/cm3
Space group: I4mm (107)
Fermi-level density of states: 0.672 states/eV/atom

a b c (Å): 7.0139 7.0139 7.0139
angles (deg): 149.46 149.46 43.73
Element x y z (fractional)
Eu1 0.0000 0.0000 0.0000
Ho1 0.2820 0.2820 0.0000
Ag1 0.6613 0.6613 0.0000

***

# 11
This record from Alexandria via LeMat-Bulk describes a geometry-optimized PrHoTm6 structure. The functional is GGA-PBE.

Values from the calculation:
ΔE_f: 0.026 eV/atom
Excess energy over the best structure of this formula in the dataset: 0.0 meV/atom
Theoretical density: 8.9 g/cm3
Space group: P4/mmm (123)
Fermi-level density of states: 1.275 states/eV/atom

a b c (Å): 7.0413 7.0413 4.9675
angles (deg): 90.00 90.00 90.00
Element x y z (fractional)
Pr1 0.0000 0.0000 0.0000
Ho1 0.5000 0.5000 0.0000
Tm1 0.0000 0.5000 0.0000
Tm2 0.2522 0.2522 0.5000
Tm3 0.2522 0.7478 0.5000
Tm4 0.5000 0.0000 0.0000
Tm5 0.7478 0.2522 0.5000
Tm6 0.7478 0.7478 0.5000

***

# 12
This record from Alexandria via LeMat-Bulk describes a geometry-optimized Hf2BeZnRe structure. The functional is GGA-PBE.

Values from the calculation:
ΔE_f: 1.050 eV/atom
Theoretical density: 8.6 g/cm3
Space group: P4/mmm (123)
Fermi-level density of states: 0.588 states/eV/atom

a b c (Å): 4.9680 4.9680 4.8495
angles (deg): 90.00 90.00 90.00
Element x y z (fractional)
Hf1 0.0000 0.5000 0.0000
Hf2 0.5000 0.0000 0.0000
Be1 0.0000 0.0000 0.5000
Zn1 0.5000 0.5000 0.5000
Re1 0.5000 0.5000 0.0000

***

# 13
This record from Alexandria via LeMat-Bulk describes a geometry-optimized AlFeGe structure. The functional is GGA-PBE.

Values from the calculation:
ΔE_f: -0.056 eV/atom
Theoretical density: 5.7 g/cm3
Space group: F-43m (216)
Fermi-level density of states: 0.908 states/eV/atom

a b c (Å): 3.9905 3.9905 3.9905
angles (deg): 60.00 60.00 60.00
Element x y z (fractional)
Al1 0.0000 0.0000 0.0000
Fe1 0.7500 0.7500 0.7500
Ge1 0.5000 0.5000 0.5000

***

# 14
This record from Alexandria via LeMat-Bulk describes a geometry-optimized EuAlPb2 structure. The functional is GGA-PBE.

Values from the calculation:
ΔE_f: -0.243 eV/atom
Theoretical density: 9.0 g/cm3
Space group: P4/mmm (123)
Fermi-level density of states: 0.604 states/eV/atom

a b c (Å): 4.8374 4.8374 4.6577
angles (deg): 90.00 90.00 90.00
Element x y z (fractional)
Eu1 0.0000 0.0000 0.0000
Al1 0.5000 0.5000 0.0000
Pb1 0.0000 0.5000 0.5000
Pb2 0.5000 0.0000 0.5000

***

# 15
This record from Alexandria via LeMat-Bulk describes a geometry-optimized Cr6FeRe5 structure. The functional is GGA-PBE.

Values from the calculation:
ΔE_f: 0.097 eV/atom
Theoretical density: 13.5 g/cm3
Space group: Cmmm (65)
Fermi-level density of states: 1.120 states/eV/atom

a b c (Å): 4.9715 4.9715 8.3288
angles (deg): 90.00 90.00 129.24
Element x y z (fractional)
Cr1 0.0000 0.0000 0.2424
Cr2 0.0000 0.0000 0.7576
Cr3 0.3338 0.6662 0.2502
Cr4 0.3338 0.6662 0.7498
Cr5 0.6662 0.3338 0.2502
Cr6 0.6662 0.3338 0.7498
Fe1 0.5000 0.5000 0.0000
Re1 0.1659 0.8341 0.5000
Re2 0.1674 0.8326 0.0000
Re3 0.5000 0.5000 0.5000
Re4 0.8326 0.1674 0.0000
Re5 0.8341 0.1659 0.5000

***

# 16
This record from Alexandria via LeMat-Bulk describes a geometry-optimized Cs2NaAu3C6N6 structure. The functional is GGA-PBE.

Values from the calculation:
Theoretical density: 4.0 g/cm3
Space group: P6_3/mmc (194)
Raw formation energy: -0.0809 eV per atom
Fermi-level density of states: 0.000 states/eV/atom

a b c (Å): 7.2996 7.2996 18.4389
angles (deg): 90.00 90.00 120.00
Element x y z (fractional)
Cs1 0.3333 0.6667 0.0553
Cs2 0.3333 0.6667 0.4447
Cs3 0.6667 0.3333 0.5553
Cs4 0.6667 0.3333 0.9447
Na1 0.0000 0.0000 0.0000
Na2 0.0000 0.0000 0.5000
Au1 0.1738 0.3476 0.7500
Au2 0.1738 0.8262 0.7500
Au3 0.3476 0.1738 0.2500
Au4 0.6524 0.8262 0.7500
Au5 0.8262 0.1738 0.2500
Au6 0.8262 0.6524 0.2500
C1 0.1695 0.3390 0.6421
C2 0.1695 0.3390 0.8579
C3 0.1695 0.8305 0.6421
C4 0.1695 0.8305 0.8579
C5 0.3390 0.1695 0.1421
C6 0.3390 0.1695 0.3579
C7 0.6610 0.8305 0.6421
C8 0.6610 0.8305 0.8579
C9 0.8305 0.1695 0.1421
C10 0.8305 0.1695 0.3579
C11 0.8305 0.6610 0.1421
C12 0.8305 0.6610 0.3579
N1 0.1634 0.3268 0.5785
N2 0.1634 0.3268 0.9215
N3 0.1634 0.8366 0.5785
N4 0.1634 0.8366 0.9215
N5 0.3268 0.1634 0.0785
N6 0.3268 0.1634 0.4215
N7 0.6732 0.8366 0.5785
N8 0.6732 0.8366 0.9215
N9 0.8366 0.1634 0.0785
N10 0.8366 0.1634 0.4215
N11 0.8366 0.6732 0.0785
N12 0.8366 0.6732 0.4215

***

# 17
This record from Alexandria via LeMat-Bulk describes a geometry-optimized PmPrY6Tm2 structure. The functional is GGA-PBE.

Values from the calculation:
ΔE_f: 0.120 eV/atom
Theoretical density: 5.8 g/cm3
Space group: C2/c (15)
Fermi-level density of states: 1.548 states/eV/atom

a b c (Å): 8.7935 8.7935 9.5920
angles (deg): 93.77 93.77 116.45
Element x y z (fractional)
Pm1 0.0305 0.9695 0.7500
Pm2 0.9695 0.0305 0.2500
Pr1 0.4079 0.5921 0.2500
Pr2 0.5921 0.4079 0.7500
Y1 0.0177 0.5649 0.6799
Y2 0.1141 0.7561 0.0569
Y3 0.2439 0.8859 0.4431
Y4 0.2958 0.5149 0.8846
Y5 0.4351 0.9823 0.8201
Y6 0.4851 0.7042 0.6154
Y7 0.5149 0.2958 0.3846
Y8 0.5649 0.0177 0.1799
Y9 0.7042 0.4851 0.1154
Y10 0.7561 0.1141 0.5569
Y11 0.8859 0.2439 0.9431
Y12 0.9823 0.4351 0.3201
Tm1 0.1957 0.2957 0.5503
Tm2 0.2957 0.1957 0.0503
Tm3 0.7043 0.8043 0.9497
Tm4 0.8043 0.7043 0.4497

***

# 18
This record from Alexandria via LeMat-Bulk describes a geometry-optimized RuRhPb2 structure. The functional is GGA-PBE.

Values from the calculation:
ΔE_f: 0.349 eV/atom
Excess energy over the best structure of this formula in the dataset: 78.3 meV/atom
Theoretical density: 13.0 g/cm3
Space group: Pmm2 (25)
Fermi-level density of states: 0.888 states/eV/atom

a b c (Å): 3.2952 5.2848 4.5490
angles (deg): 90.00 90.00 90.00
Element x y z (fractional)
Ru1 0.0000 0.0000 0.0000
Rh1 0.5000 0.5000 0.2442
Pb1 0.0000 0.5000 0.7602
Pb2 0.5000 0.0000 0.4868

***

# 19
This record from Alexandria via LeMat-Bulk describes a geometry-optimized Ac6P2S3Cl structure. The functional is GGA-PBE.

Values from the calculation:
Theoretical density: 7.4 g/cm3
Space group: C2/m (12)
Raw formation energy: -1.7768 eV per atom
Fermi-level density of states: 0.422 states/eV/atom

a b c (Å): 9.7261 9.7261 8.7217
angles (deg): 102.92 102.92 25.92
Element x y z (fractional)
Ac1 0.0005 0.0005 0.2653
Ac2 0.3284 0.3284 0.9110
Ac3 0.3312 0.3312 0.4196
Ac4 0.6688 0.6688 0.5804
Ac5 0.6716 0.6716 0.0890
Ac6 0.9995 0.9995 0.7347
P1 0.1642 0.1642 0.3289
P2 0.8358 0.8358 0.6711
S1 0.1662 0.1662 0.8344
S2 0.5000 0.5000 0.5000
S3 0.8338 0.8338 0.1656
Cl1 0.5000 0.5000 0.0000

***

# 20
This record from Alexandria via LeMat-Bulk describes a geometry-optimized Ac2Sb3Rh5 structure. The functional is GGA-PBE.

Values from the calculation:
Excess energy over the best structure of this formula in the dataset: 83.5 meV/atom
Theoretical density: 9.9 g/cm3
Space group: Cmc2_1 (36)
Raw formation energy: -0.6107 eV per atom
Fermi-level density of states: 0.646 states/eV/atom

a b c (Å): 13.9304 13.9304 7.3509
angles (deg): 90.00 90.00 161.72
Element x y z (fractional)
Ac1 0.0092 0.9908 0.5000
Ac2 0.3217 0.6783 0.5012
Ac3 0.6783 0.3217 0.0012
Ac4 0.9908 0.0092 0.0000
Sb1 0.1123 0.8877 0.2726
Sb2 0.2772 0.7228 0.0451
Sb3 0.4322 0.5678 0.2620
Sb4 0.5678 0.4322 0.7620
Sb5 0.7228 0.2772 0.5451
Sb6 0.8877 0.1123 0.7726
Rh1 0.0967 0.9033 0.9113
Rh2 0.2070 0.7930 0.3382
Rh3 0.2269 0.7731 0.7398
Rh4 0.3704 0.6296 0.9714
Rh5 0.4331 0.5669 0.6457
Rh6 0.5669 0.4331 0.1457
Rh7 0.6296 0.3704 0.4714
Rh8 0.7731 0.2269 0.2398
Rh9 0.7930 0.2070 0.8382
Rh10 0.9033 0.0967 0.4113